[1]
# Sm2Dy9In, relaxed, DFT PBE-GGA
# space-group type	No. 123
# E_form	-0.06	eV per atom
data_Sm2Dy9In
_cell_length_a 4.953
_cell_length_b 4.953
_cell_length_c 15.098
_cell_angle_alpha 90.00
_cell_angle_beta 90.00
_cell_angle_gamma 90.00
_symmetry_space_group_name_H-M 'P 1'
_symmetry_Int_Tables_number 1
_symmetry_space_group_name_Hall 'P 1'
loop_
_atom_site_label
_atom_site_type_symbol
_atom_site_fract_x
_atom_site_fract_y
_atom_site_fract_z
_atom_site_occupancy
Dy1 Dy 0.000 0.500 0.840 1
Dy2 Dy 0.500 0.000 0.500 1
Dy3 Dy 0.500 0.000 0.160 1
Dy4 Dy 0.500 0.500 0.672 1
Dy5 Dy 0.500 0.500 0.000 1
Dy6 Dy 0.500 0.500 0.328 1
Dy7 Dy 0.000 0.500 0.160 1
Dy8 Dy 0.500 0.000 0.840 1
Dy9 Dy 0.000 0.500 0.500 1
Sm1 Sm 0.000 0.000 0.668 1
Sm2 Sm 0.000 0.000 0.332 1
In1 In 0.000 0.000 0.000 1


[2]
# PrSnPt, relaxed, DFT PBE-GGA
# space-group type	No. 189
# E_form	-1.04	eV per atom
data_PrSnPt
_cell_length_a 7.671
_cell_length_b 7.671
_cell_length_c 4.177
_cell_angle_alpha 90.00
_cell_angle_beta 90.00
_cell_angle_gamma 120.00
_symmetry_space_group_name_H-M 'P 1'
_symmetry_Int_Tables_number 1
_symmetry_space_group_name_Hall 'P 1'
loop_
_atom_site_label
_atom_site_type_symbol
_atom_site_fract_x
_atom_site_fract_y
_atom_site_fract_z
_atom_site_occupancy
Pr1 Pr 0.590 0.590 0.000 1
Pr2 Pr 0.410 0.000 0.000 1
Pr3 Pr 0.000 0.410 0.000 1
Pt1 Pt 0.000 0.000 0.000 1
Pt2 Pt 0.333 0.667 0.500 1
Pt3 Pt 0.667 0.333 0.500 1
Sn1 Sn 0.748 0.000 0.500 1
Sn2 Sn 0.252 0.252 0.500 1
Sn3 Sn 0.000 0.748 0.500 1


[3]
# Na4Pu3CuO12, relaxed, DFT PBE-GGA
# space-group type	No. 229
# raw formation energy	-2101	meV/atom
data_Na4Pu3CuO12
_cell_length_a 7.218
_cell_length_b 7.218
_cell_length_c 7.218
_cell_angle_alpha 109.47
_cell_angle_beta 109.47
_cell_angle_gamma 109.47
_symmetry_space_group_name_H-M 'P 1'
_symmetry_Int_Tables_number 1
_symmetry_space_group_name_Hall 'P 1'
loop_
_atom_site_label
_atom_site_type_symbol
_atom_site_fract_x
_atom_site_fract_y
_atom_site_fract_z
_atom_site_occupancy
O1 O 0.267 0.267 0.000 1
O2 O 0.250 0.750 0.500 1
O3 O 0.750 0.500 0.250 1
O4 O 0.500 0.250 0.750 1
O5 O 0.750 0.250 0.500 1
O6 O 0.733 0.000 0.733 1
O7 O 0.000 0.267 0.267 1
O8 O 0.250 0.500 0.750 1
O9 O 0.267 0.000 0.267 1
O10 O 0.500 0.750 0.250 1
O11 O 0.000 0.733 0.733 1
O12 O 0.733 0.733 0.000 1
Pu1 Pu 0.000 0.500 0.500 1
Pu2 Pu 0.500 0.500 0.000 1
Pu3 Pu 0.500 0.000 0.500 1
Na1 Na 0.000 0.500 0.000 1
Na2 Na 0.000 0.000 0.500 1
Na3 Na 0.500 0.500 0.500 1
Na4 Na 0.500 0.000 0.000 1
Cu1 Cu 0.000 0.000 0.000 1


[4]
# TaBSbBr2, relaxed, DFT PBE-GGA
# space-group type	No. 123
# raw formation energy	1854	meV/atom
data_TaBSbBr2
_cell_length_a 5.603
_cell_length_b 5.534
_cell_length_c 5.603
_cell_angle_alpha 90.00
_cell_angle_beta 90.00
_cell_angle_gamma 90.00
_symmetry_space_group_name_H-M 'P 1'
_symmetry_Int_Tables_number 1
_symmetry_space_group_name_Hall 'P 1'
loop_
_atom_site_label
_atom_site_type_symbol
_atom_site_fract_x
_atom_site_fract_y
_atom_site_fract_z
_atom_site_occupancy
Br1 Br 0.500 0.000 0.000 1
Br2 Br 0.000 0.000 0.500 1
Sb1 Sb 0.000 0.000 0.000 1
Ta1 Ta 0.000 0.500 0.000 1
B1 B 0.500 0.500 0.500 1


Number 1: total DFT energy (no corrections) -54.37 eV for the cell shown, Fermi-level density of states 15.00 states/eV per cell, total magnetic moment 0.00 Bohr magnetons per cell. Number 2: total DFT energy (no corrections) -53.85 eV for the cell shown, Fermi-level density of states 3.96 states/eV per cell, total magnetic moment 0.00 Bohr magnetons per cell. Number 3: total DFT energy (no corrections) -153.88 eV for the cell shown, Fermi-level density of states 9.75 states/eV per cell, total magnetic moment 4.93 Bohr magnetons per cell. Number 4: total DFT energy (no corrections) -16.73 eV for the cell shown, Fermi-level density of states 3.34 states/eV per cell, total magnetic moment 3.09 Bohr magnetons per cell.